# 1
# K2LaW, relaxed, DFT PBE
data_K2LaW
_chemical_formula_sum 'K2 La1 W1'
_cell_length_a 3.4086
_cell_length_b 3.4086
_cell_length_c 12.8232
_cell_angle_alpha 90.00
_cell_angle_beta 90.00
_cell_angle_gamma 108.66
_space_group_name_H-M_alt 'P 1'
_space_group_IT_number 1
loop_
_space_group_symop_operation_xyz
'x,y,z'
loop_
_atom_site_label
_atom_site_type_symbol
_atom_site_fract_x
_atom_site_fract_y
_atom_site_fract_z
K1 K 0.0000 0.0000 0.9415
K2 K 0.5000 0.5000 0.2675
La1 La 0.0000 0.0000 0.5677
W1 W 0.5000 0.5000 0.7233
# Fermi-level density of states: 3.6 states/eV per cell
# Energy of formation: 0.962 eV/atom
# Total energy: -4.06 eV per atom
# Energy above the most stable polymorph in this dataset: 0.062 eV per atom
# Magnetic moment: 0.00 μB/f.u.

# 2
# Mn2CrFe5Re2, relaxed, DFT PBE
data_Mn2CrFe5Re2
_chemical_formula_sum 'Mn4 Cr2 Fe10 Re4'
_cell_length_a 3.7650
_cell_length_b 8.0347
_cell_length_c 8.0347
_cell_angle_alpha 90.00
_cell_angle_beta 90.00
_cell_angle_gamma 90.00
_space_group_name_H-M_alt 'P 1'
_space_group_IT_number 1
loop_
_space_group_symop_operation_xyz
'x,y,z'
loop_
_atom_site_label
_atom_site_type_symbol
_atom_site_fract_x
_atom_site_fract_y
_atom_site_fract_z
Mn1 Mn 0.0000 0.1275 0.6275
Mn2 Mn 0.0000 0.8725 0.3725
Mn3 Mn 0.0000 0.6275 0.8725
Mn4 Mn 0.0000 0.3725 0.1275
Cr1 Cr 0.0000 0.0000 0.0000
Cr2 Cr 0.0000 0.5000 0.5000
Fe1 Fe 0.5000 0.2008 0.0690
Fe2 Fe 0.5000 0.7992 0.9310
Fe3 Fe 0.5000 0.0690 0.7992
Fe4 Fe 0.5000 0.7008 0.4310
Fe5 Fe 0.5000 0.9310 0.2008
Fe6 Fe 0.5000 0.2992 0.5690
Fe7 Fe 0.5000 0.5690 0.7008
Fe8 Fe 0.5000 0.4310 0.2992
Fe9 Fe 0.5000 0.5000 0.0000
Fe10 Fe 0.5000 0.0000 0.5000
Re1 Re 0.0000 0.6684 0.1684
Re2 Re 0.0000 0.3316 0.8316
Re3 Re 0.0000 0.1684 0.3316
Re4 Re 0.0000 0.8316 0.6684
# Fermi-level density of states: 23.3 states/eV per cell
# Energy of formation: 0.238 eV/atom
# Total energy: -9.28 eV per atom
# Magnetic moment: 3.13 μB/f.u.